# 1
Here is BaLiFe2 after structural relaxation from the Alexandria database. Energies are from GGA-PBE.

Results
- ΔE to the lowest computed polymorph (meV/atom) = 418
- energy of formation (eV/atom) = 0.912

Cell lengths 4.903, 5.723, 3.123 Å; angles 77.29, 82.91, 113.25 degrees
Each line ends with the local moment (μB).
Positions (direct):
Fe (0.500, 0.000, 0.500)  2.66
Ba (0.500, 0.500, 0.000)  -0.21
Fe (0.000, 0.000, 0.000)  2.66
Li (0.000, 0.500, 0.500)  -0.06


# 2
Here is BaLi2Fe after structural relaxation from the Alexandria database. Energies are from GGA-PBE.

Results
- ΔE to the lowest computed polymorph (meV/atom) = 0
- energy of formation (eV/atom) = 0.449

Cell lengths 6.418, 6.418, 6.418 Å; angles 42.26, 42.26, 42.26 degrees
Each line ends with the local moment (μB).
Positions (direct):
Li (0.306, 0.306, 0.306)  -0.06
Ba (0.494, 0.494, 0.494)  -0.12
Li (0.007, 0.007, 0.007)  -0.06
Fe (0.692, 0.692, 0.692)  2.80


# 3
Here is BaLiFe2 after structural relaxation from the Alexandria database. Energies are from GGA-PBE.

Results
- ΔE to the lowest computed polymorph (meV/atom) = 378
- energy of formation (eV/atom) = 0.872

Cell lengths 3.697, 4.401, 4.757 Å; angles 90.00, 90.00, 90.00 degrees
Each line ends with the local moment (μB).
Positions (direct):
Li (0.500, 0.000, 0.500)  -0.07
Fe (0.000, 0.000, 0.000)  2.68
Fe (0.500, 0.500, 0.000)  2.42
Ba (0.000, 0.500, 0.500)  -0.23


# 4
Here is BaLiFe2 after structural relaxation from the Alexandria database. Energies are from GGA-PBE.

Results
- ΔE to the lowest computed polymorph (meV/atom) = 0
- energy of formation (eV/atom) = 0.493

Cell lengths 3.920, 3.920, 6.629 Å; angles 72.94, 72.94, 59.98 degrees
Each line ends with the local moment (μB).
Positions (direct):
Fe (0.725, 0.725, 0.824)  0.79
Li (0.455, 0.455, 0.634)  -0.02
Ba (0.264, 0.264, 0.211)  -0.10
Fe (0.056, 0.056, 0.831)  0.82


Q: What is the formula in the first record?
A: BaLiFe2


What did the second record say?
Here is BaLi2Fe after structural relaxation from the Alexandria database. Energies are from GGA-PBE.

Results
- ΔE to the lowest computed polymorph (meV/atom) = 0
- energy of formation (eV/atom) = 0.449

Cell lengths 6.418, 6.418, 6.418 Å; angles 42.26, 42.26, 42.26 degrees
Each line ends with the local moment (μB).
Positions (direct):
Li (0.306, 0.306, 0.306)  -0.06
Ba (0.494, 0.494, 0.494)  -0.12
Li (0.007, 0.007, 0.007)  -0.06
Fe (0.692, 0.692, 0.692)  2.80


Q: What is the energy of formation in the second record?
A: 0.449 eV/atom